1.
# UHgSbAu

UHgSbAu after structural relaxation (PBE, Alexandria via LeMat-Bulk).

It has space group F-43m (No. 216), with a = 7.2420 Å, b = 7.2420 Å, c = 7.2420 Å, α = 90.00°, β = 90.00° and γ = 90.00°. The inequivalent atoms are U at (0.0000, 0.0000, 0.0000), Hg at (0.0000, 0.0000, 0.5000), Sb at (0.2500, 0.2500, 0.7500) and Au at (0.2500, 0.2500, 0.2500).

The calculation puts the total magnetic moment at 2.78 μB per formula unit. The calculation puts the uncorrected formation energy at -0.442 kcal/mol of atoms.

=====

2.
# LaBeP

LaBeP after structural relaxation (PBE, Alexandria via LeMat-Bulk).

It has space group P6_3/mmc (No. 194), with a = 3.7774 Å, b = 3.7774 Å, c = 8.8979 Å, α = 90.00°, β = 90.00° and γ = 120.00°. The inequivalent atoms are La at (0.0000, 0.0000, 0.0000), Be at (0.3333, 0.6667, 0.2500) and P at (0.3333, 0.6667, 0.7500).

The calculation puts the total magnetic moment at 0.00 μB per formula unit. The energy above the most stable polymorph in this dataset is 0.0 meV per atom.

=====

3.
# LiMg2Pa

LiMg2Pa after structural relaxation (PBE, Alexandria via LeMat-Bulk).

It has space group P4/mmm (No. 123), with a = 3.0857 Å, b = 3.0857 Å, c = 9.2510 Å, α = 90.00°, β = 90.00° and γ = 90.00°. The inequivalent atoms are Li at (0.0000, 0.0000, 0.0000), Mg at (0.5000, 0.5000, 0.2246) and Pa at (0.0000, 0.0000, 0.5000).

The calculation puts the total magnetic moment at 0.75 μB per formula unit. The energy above the most stable polymorph in this dataset is 0.0 meV per atom.

=====

4.
# TmPaAlPb

TmPaAlPb after structural relaxation (PBE, Alexandria via LeMat-Bulk).

It has space group F-43m (No. 216), with a = 7.4256 Å, b = 7.4256 Å, c = 7.4256 Å, α = 90.00°, β = 90.00° and γ = 90.00°. The inequivalent atoms are Tm at (0.0000, 0.0000, 0.0000), Pa at (0.0000, 0.0000, 0.5000), Al at (0.2500, 0.2500, 0.7500) and Pb at (0.2500, 0.2500, 0.2500).

The calculation puts the total magnetic moment at 1.62 μB per formula unit.

=====

5.
# KDyMnCl6

KDyMnCl6 after structural relaxation (PBE, Alexandria via LeMat-Bulk).

It has space group P-31c (No. 163), with a = 6.4752 Å, b = 6.4752 Å, c = 14.2707 Å, α = 90.00°, β = 90.00° and γ = 120.00°. The inequivalent atoms are K at (0.0000, 0.0000, 0.0000), Dy at (0.3333, 0.6667, 0.2500), Mn at (0.3333, 0.6667, 0.7500) and Cl at (0.0319, 0.3802, 0.6495).

The calculation puts the total magnetic moment at 0.94 μB per formula unit. The calculation puts the uncorrected formation energy at -36.410 kcal/mol of atoms.

=====

6.
# Cs2PuF7

Cs2PuF7 after structural relaxation (PBE, Alexandria via LeMat-Bulk).

It has space group Fm-3m (No. 225), with a = 9.8740 Å, b = 9.8740 Å, c = 9.8740 Å, α = 90.00°, β = 90.00° and γ = 90.00°. The inequivalent atoms are Cs at (0.2500, 0.2500, 0.2500), Pu at (0.0000, 0.0000, 0.0000), F at (0.0000, 0.0000, 0.2120) and F at (0.0000, 0.0000, 0.5000).

The calculation puts the total magnetic moment at 3.41 μB per formula unit. The calculation puts the uncorrected formation energy at -66.242 kcal/mol of atoms.

=====

7.
# KMg2In

KMg2In after structural relaxation (PBE, Alexandria via LeMat-Bulk).

It has space group Cmmm (No. 65), with a = 6.9110 Å, b = 10.5989 Å, c = 3.3228 Å, α = 90.00°, β = 90.00° and γ = 90.00°. The inequivalent atoms are K at (0.0000, 0.0000, 0.0000), Mg at (0.2500, 0.2500, 0.5000) and In at (0.0000, 0.5000, 0.0000).

The calculation puts the total magnetic moment at 0.00 μB per formula unit.

=====

8.
# Ti4Al2In

Ti4Al2In after structural relaxation (PBE, Alexandria via LeMat-Bulk).

It has space group P2_1/m (No. 11), with a = 7.1269 Å, b = 5.5992 Å, c = 7.2328 Å, α = 90.00°, β = 118.91° and γ = 90.00°. The inequivalent atoms are Ti at (0.0418, 0.2500, 0.0233), Ti at (0.1424, 0.7500, 0.4002), Ti at (0.4167, 0.0032, 0.2762), Al at (0.2044, 0.2500, 0.4585), Al at (0.3119, 0.2500, 0.8700) and In at (0.2556, 0.7500, 0.8334).

The calculation puts the total magnetic moment at 0.00 μB per formula unit.

=====

9.
# SrLi2InNi

SrLi2InNi after structural relaxation (PBE, Alexandria via LeMat-Bulk).

It has space group P4/mmm (No. 123), with a = 4.8927 Å, b = 4.8927 Å, c = 4.9601 Å, α = 90.00°, β = 90.00° and γ = 90.00°. The inequivalent atoms are Sr at (0.0000, 0.0000, 0.0000), Li at (0.0000, 0.5000, 0.5000), In at (0.5000, 0.5000, 0.0000) and Ni at (0.5000, 0.5000, 0.5000).

The calculation puts the total magnetic moment at 0.00 μB per formula unit. The energy above the most stable polymorph in this dataset is 0.0 meV per atom.

=====

10.
# KSr3Rh

KSr3Rh after structural relaxation (PBE, Alexandria via LeMat-Bulk).

It has space group P6_3/mmc (No. 194), with a = 4.9266 Å, b = 4.9266 Å, c = 25.7629 Å, α = 90.00°, β = 90.00° and γ = 120.00°. The inequivalent atoms are K at (0.0000, 0.0000, 0.0000), Sr at (0.0000, 0.0000, 0.2500), Sr at (0.3333, 0.6667, 0.1380) and Rh at (0.3333, 0.6667, 0.2500).

The calculation puts the total magnetic moment at 0.00 μB per formula unit. The energy above the most stable polymorph in this dataset is 265.1 meV per atom.

=====

11.
# PdAuO2

PdAuO2 after structural relaxation (PBE, Alexandria via LeMat-Bulk).

It has space group P6_3/mmc (No. 194), with a = 3.2685 Å, b = 3.2685 Å, c = 12.2073 Å, α = 90.00°, β = 90.00° and γ = 120.00°. The inequivalent atoms are Pd at (0.0000, 0.0000, 0.0000), Au at (0.3333, 0.6667, 0.2500) and O at (0.3333, 0.6667, 0.0813).

The calculation puts the total magnetic moment at 0.00 μB per formula unit. The calculation puts the uncorrected formation energy at -4.917 kcal/mol of atoms.

=====

12.
# CsIn2IrRu

CsIn2IrRu after structural relaxation (PBE, Alexandria via LeMat-Bulk).

It has space group P4/mmm (No. 123), with a = 5.1928 Å, b = 5.1928 Å, c = 5.9886 Å, α = 90.00°, β = 90.00° and γ = 90.00°. The inequivalent atoms are Cs at (0.0000, 0.0000, 0.0000), In at (0.0000, 0.5000, 0.5000), Ir at (0.0000, 0.0000, 0.5000) and Ru at (0.5000, 0.5000, 0.0000).

The calculation puts the total magnetic moment at 2.93 μB per formula unit.

=====

N(E_F)
In order: 1.017 0.202 1.212 1.796 0.984 2.777 0.905 1.055 0.439 0.662 0.777 1.090
Unit: states/eV per atom
V
In order: 95.0 55.0 88.1 102.4 259.1 240.7 121.7 126.3 118.7 270.8 56.5 161.5
Unit: Å³/f.u.
Energy
In order: -0.3503 -0.4179 -0.2599 -0.3941 -0.3280 -0.4253 -0.1132 -0.4442 -0.2129 -0.1889 -0.3535 -0.2764
Unit: Ry per atom